V2HOsPt PBE optimized geometry; density = 13.94 Mg/m³; VASP energy = -8.06 eV per atom
1.0
-3.806 -0.052 -0.904
0.318 -3.734 -1.123
-0.823 -1.132 3.531
V Pt H Os
2 1 1 1
direct
0.000 0.500 0.000
0.500 0.000 0.000
0.500 0.500 0.500
0.000 0.000 0.000
0.000 0.000 0.500

Rb3TeCl PBE optimized geometry; E_form (uncorrected) = -6.39 eV/f.u.; density = 3.01 Mg/m³; VASP energy = -2.86 eV per atom
1.0
6.090 0.321 0.686
-0.001 7.602 -3.573
1.155 0.105 10.103
Cl Rb Te
2 6 2
direct
0.401 0.897 0.794
0.599 0.103 0.206
0.500 0.500 0.500
0.940 0.850 0.701
0.060 0.150 0.299
0.500 0.000 0.500
0.500 0.289 0.000
0.500 0.711 0.000
0.113 0.654 0.308
0.887 0.346 0.692

AuSe2Br PBE optimized geometry; E_form (uncorrected) = -0.25 eV/f.u.; density = 6.97 Mg/m³; VASP energy = -3.04 eV per atom
1.0
3.869 0.000 0.000
0.000 4.475 0.062
0.000 2.077 6.012
Se Br Au
2 1 1
direct
0.000 0.001 0.101
0.000 0.499 0.399
0.500 0.750 0.750
0.500 0.250 0.250

KTc2BOs PBE optimized geometry; energy of formation from the pure elements = 1.580 eV per atom; density = 7.08 Mg/m³; VASP energy = -6.37 eV per atom
1.0
-2.784 3.348 2.247
-2.094 0.703 -3.642
-3.234 -3.485 1.186
B Tc K Os
1 2 1 1
direct
0.000 0.500 0.000
0.000 0.000 0.500
0.500 0.000 0.000
0.500 0.500 0.500
0.000 0.000 0.000

Pm6POs2I3 PBE optimized geometry; E_form (uncorrected) = -9.70 eV/f.u.; density = 7.53 Mg/m³; VASP energy = -5.89 eV per atom
1.0
-3.065 -1.554 -6.451
3.552 -5.205 3.705
-6.893 0.290 4.596
Pm Os I P
6 2 3 1
direct
0.282 0.282 0.815
0.061 0.405 0.186
0.405 0.061 0.186
0.718 0.718 0.185
0.939 0.595 0.814
0.595 0.939 0.814
0.667 0.333 0.000
0.333 0.667 0.000
0.836 0.164 0.500
0.164 0.836 0.500
0.500 0.500 0.500
0.000 0.000 0.000

TbPr2C PBE optimized geometry; energy of formation from the pure elements = 0.099 eV per atom; density = 6.47 Mg/m³; VASP energy = -5.75 eV per atom
1.0
3.649 0.000 0.000
1.824 3.160 0.000
1.824 1.053 10.077
C Tb Pr
1 1 2
direct
0.500 0.500 0.500
0.000 0.000 0.000
0.119 0.119 0.643
0.881 0.881 0.357

Question: The highest density belongs to which entry?
Answer: V2HOsPt

Please write out number 2 again, unchanged.
Rb3TeCl PBE optimized geometry; E_form (uncorrected) = -6.39 eV/f.u.; density = 3.01 Mg/m³; VASP energy = -2.86 eV per atom
1.0
6.090 0.321 0.686
-0.001 7.602 -3.573
1.155 0.105 10.103
Cl Rb Te
2 6 2
direct
0.401 0.897 0.794
0.599 0.103 0.206
0.500 0.500 0.500
0.940 0.850 0.701
0.060 0.150 0.299
0.500 0.000 0.500
0.500 0.289 0.000
0.500 0.711 0.000
0.113 0.654 0.308
0.887 0.346 0.692

Question: Which of these has the highest density?
Answer: V2HOsPt